DFT (PBE) results for a geometry-optimized SrIn2Mo structure.

abc: 7.4753 7.4753 7.4753
angles: 90.00 90.00 90.00
Space group F-43m (No. 216)
Inequivalent atoms, fractional coordinates:
Sr1 0.0000 0.0000 0.0000 (multiplicity 4)
In1 0.0000 0.0000 0.5000 (multiplicity 4)
In2 0.2500 0.2500 0.2500 (multiplicity 4)
Mo1 0.2500 0.2500 0.7500 (multiplicity 4)

Magnetic moment = 0.95 μB per atom
Total DFT energy (no corrections) = -3.877 eV per atom